Record 1
Entry from Alexandria via LeMat-Bulk: LaI2Br after structural relaxation (PBE).

abc: 4.3769 7.9446 10.0381
angles: 90.00 90.00 105.94
Positions (direct):
La: 0.2420 0.4849 0.7500
La: 0.7580 0.5151 0.2500
I: 0.1494 0.2976 0.0635
I: 0.8506 0.7024 0.9365
I: 0.8506 0.7024 0.5635
I: 0.1494 0.2976 0.4365
Br: 0.6117 0.2234 0.7500
Br: 0.3883 0.7766 0.2500

Properties
energy relative to the lowest polymorph listed for this composition	0	meV per atom
uncorrected formation energy	-1690	meV per atom

***

Record 2
Entry from Alexandria via LeMat-Bulk: SrLi2Cl after structural relaxation (PBE).

abc: 5.6045 5.6045 5.6045
angles: 60.00 60.00 60.00
Positions (direct):
Sr: 0.5000 0.5000 0.5000
Li: 0.2500 0.2500 0.2500
Li: 0.7500 0.7500 0.7500
Cl: 0.0000 0.0000 0.0000

Properties
energy relative to the lowest polymorph listed for this composition	566	meV per atom
uncorrected formation energy	-165	meV per atom

***

Record 3
Entry from Alexandria via LeMat-Bulk: InSiTc2 after structural relaxation (PBE).

abc: 5.2381 5.1200 2.9031
angles: 75.91 85.52 119.30
Positions (direct):
In: 0.0000 0.5000 0.5000
Si: 0.5000 0.5000 0.0000
Tc: 0.0000 0.0000 0.0000
Tc: 0.5000 0.0000 0.5000

Properties
energy relative to the lowest polymorph listed for this composition	420	meV per atom
uncorrected formation energy	334	meV per atom

***

Record 4
Entry from Alexandria via LeMat-Bulk: NiBAs2Br after structural relaxation (PBE).

abc: 4.3912 4.3912 6.1562
angles: 90.00 90.00 90.00
Positions (direct):
Ni: 0.0000 0.0000 0.0000
As: 0.0000 0.5000 0.0000
As: 0.5000 0.0000 0.0000
B: 0.5000 0.5000 0.5000
Br: 0.0000 0.0000 0.5000

Properties
energy relative to the lowest polymorph listed for this composition	122	meV per atom
uncorrected formation energy	1186	meV per atom

***

Record 5
Entry from Alexandria via LeMat-Bulk: PdPb2N2 after structural relaxation (PBE).

abc: 3.4487 3.4486 12.1383
angles: 73.63 73.63 90.02
Positions (direct):
Pd: 0.0000 0.0000 0.0000
Pb: 0.3480 0.3480 0.1532
Pb: 0.6520 0.6520 0.8468
N: 0.4490 0.4490 0.5501
N: 0.5510 0.5510 0.4499

Properties
uncorrected formation energy	-45	meV per atom

***

Record 6
Entry from Alexandria via LeMat-Bulk: Zn2CuSi after structural relaxation (PBE).

abc: 2.7079 3.8051 5.4539
angles: 90.00 90.00 90.00
Positions (direct):
Cu: 0.0000 0.0000 0.5112
Si: 0.5000 0.5000 0.7290
Zn: 0.0000 0.0000 0.0069
Zn: 0.5000 0.5000 0.2530

Properties
uncorrected formation energy	108	meV per atom

***

What did the first record say?
Entry from Alexandria via LeMat-Bulk: LaI2Br after structural relaxation (PBE).

abc: 4.3769 7.9446 10.0381
angles: 90.00 90.00 105.94
Positions (direct):
La: 0.2420 0.4849 0.7500
La: 0.7580 0.5151 0.2500
I: 0.1494 0.2976 0.0635
I: 0.8506 0.7024 0.9365
I: 0.8506 0.7024 0.5635
I: 0.1494 0.2976 0.4365
Br: 0.6117 0.2234 0.7500
Br: 0.3883 0.7766 0.2500

Properties
energy relative to the lowest polymorph listed for this composition	0	meV per atom
uncorrected formation energy	-1690	meV per atom

***

Repeat the fourth record exactly.
Entry from Alexandria via LeMat-Bulk: NiBAs2Br after structural relaxation (PBE).

abc: 4.3912 4.3912 6.1562
angles: 90.00 90.00 90.00
Positions (direct):
Ni: 0.0000 0.0000 0.0000
As: 0.0000 0.5000 0.0000
As: 0.5000 0.0000 0.0000
B: 0.5000 0.5000 0.5000
Br: 0.0000 0.0000 0.5000

Properties
energy relative to the lowest polymorph listed for this composition	122	meV per atom
uncorrected formation energy	1186	meV per atom

***

Q: Number 2 is which compound?
A: SrLi2Cl